# TiMn2CdO6, optimized geometry, DFT GGA+U
# E_tot = -217.29 eV/cell
# magnetization = 8.0 μB/f.u.
data_TiMn2CdO6
_chemical_formula_sum 'Ti3 Mn6 Cd3 O18'
_space_group_name_H-M_alt 'R 3'
_space_group_IT_number 146
_space_group_name_Hall 'R 3'
_cell_length_a 5.2142
_cell_length_b 5.2142
_cell_length_c 14.5895
_cell_angle_alpha 90.00
_cell_angle_beta 90.00
_cell_angle_gamma 120.00
loop_
_atom_site_label
_atom_site_type_symbol
_atom_site_fract_x
_atom_site_fract_y
_atom_site_fract_z
Ti1 Ti 0.0000 0.0000 0.0000
Mn1 Mn 0.0000 0.0000 0.2059
Mn2 Mn 0.0000 0.0000 0.6927
Cd1 Cd 0.0000 0.0000 0.4790
O1 O 0.0151 0.6978 0.6108
O2 O 0.0743 0.3477 0.7617